# 1
Entry from the Alexandria database: a relaxed Cu2NiPt crystal (PBE).

The structure belongs to space group Pmm2 (No. 25); the cell edges are 2.662, 3.641 and 5.248 Å and the angles 90.00°, 90.00° and 90.00°. The asymmetric unit holds Cu at (0.000, 0.000, 0.000), Cu at (0.500, 0.500, 0.238), Ni at (0.000, 0.000, 0.482) and Pt at (0.500, 0.500, 0.733).

The formation energy comes out at -0.273 eV per formula unit.

=====

# 2
Entry from the Alexandria database: a relaxed Cu2NiPt crystal (PBE).

The structure belongs to space group R3m (No. 160, hexagonal axes); the cell edges are 2.6487, 2.6487 and 25.4805 Å and the angles 90.00°, 90.00° and 120.00°. The asymmetric unit holds Cu at (0.0000, 0.0000, 0.0000), Cu at (0.0000, 0.0000, 0.1771), Ni at (0.0000, 0.0000, 0.5887) and Pt at (0.0000, 0.0000, 0.4217).

The formation energy comes out at -0.107 eV per formula unit.

=====

# 3
Entry from the Alexandria database: a relaxed CuNi8Pt6 crystal (PBE).

The structure belongs to space group P-3 (No. 147); the cell edges are 9.6892, 9.6892 and 2.6303 Å and the angles 90.00°, 90.00° and 120.00°. The asymmetric unit holds Cu at (0.0000, 0.0000, 0.0000), Ni at (0.0675, 0.8062, 0.2749), Ni at (0.3333, 0.6667, 0.7436) and Pt at (0.0939, 0.4550, 0.2428).

The formation energy comes out at 2.858 eV per formula unit.

=====

# 4
Entry from the Alexandria database: a relaxed Cu2NiPt crystal (PBE).

The structure belongs to space group I-42d (No. 122); the cell edges are 3.548, 3.548 and 17.646 Å and the angles 90.00°, 90.00° and 90.00°. The asymmetric unit holds Cu at (0.243, 0.250, 0.125), Ni at (0.000, 0.000, 0.000) and Pt at (0.000, 0.000, 0.500).

The formation energy comes out at 1.015 eV per formula unit.

=====

# 5
Entry from the Alexandria database: a relaxed Cu2NiPt crystal (PBE).

The structure belongs to space group Immm (No. 71); the cell edges are 2.723, 4.333 and 8.623 Å and the angles 90.00°, 90.00° and 90.00°. The asymmetric unit holds Cu at (0.000, 0.000, 0.239), Ni at (0.000, 0.500, 0.500) and Pt at (0.000, 0.500, 0.000).

The formation energy comes out at -0.260 eV per formula unit.

=====

# 6
Entry from the Alexandria database: a relaxed CuNi2Pt crystal (PBE).

The structure belongs to space group C2/m (No. 12); the cell edges are 8.568, 2.675 and 4.459 Å and the angles 90.00°, 101.02° and 90.00°. The asymmetric unit holds Cu at (0.000, 0.000, 0.000), Ni at (0.250, 0.000, 0.755) and Pt at (0.000, 0.500, 0.500).

The formation energy comes out at -0.120 eV per formula unit.

=====

# 7
Entry from the Alexandria database: a relaxed CuNi4Pt crystal (PBE).

The structure belongs to space group F-43m (No. 216); the cell edges are 6.612, 6.612 and 6.612 Å and the angles 90.00°, 90.00° and 90.00°. The asymmetric unit holds Cu at (0.000, 0.000, 0.000), Ni at (0.125, 0.125, 0.625) and Pt at (0.250, 0.250, 0.250).

The formation energy comes out at 0.449 eV per formula unit.

=====

# 8
Entry from the Alexandria database: a relaxed Cu2Ni5Pt crystal (PBE).

The structure belongs to space group C2/m (No. 12); the cell edges are 4.742, 7.170 and 6.092 Å and the angles 90.00°, 97.43° and 90.00°. The asymmetric unit holds Cu at (0.193, 0.000, 0.140), Ni at (0.000, 0.000, 0.500), Ni at (0.196, 0.328, 0.188) and Pt at (0.000, 0.500, 0.500).

The formation energy comes out at 2.215 eV per formula unit.

=====

> What is the formula in the third record?

CuNi8Pt6